(1)
TbPmSm2Bi4 | PBE | relaxed

Geometry as POSCAR:
```
TbPmSm2Bi4
1.0
-1.740 -3.741 -1.917
3.004 -4.378 5.817
-5.247 -0.555 5.846
Pm Bi Sm Tb
1 4 2 1
Cartesian
0.632 -4.060 1.950 Pm
0.046 -5.284 4.871 Bi
-2.312 -4.978 1.017 Bi
-4.030 -3.390 4.875 Bi
-1.672 -3.696 8.730 Bi
-3.494 -2.148 1.965 Sm
-5.247 -0.555 5.846 Sm
-1.122 -2.466 5.832 Tb
```

Computed properties:
Formation energy from the elements ... -916.5 meV per atom

(2)
TbPm2Sm3Bi6 | PBE | relaxed

Geometry as POSCAR:
```
TbPm2Sm3Bi6
1.0
4.555 0.000 0.000
0.000 9.102 0.329
-2.278 -2.617 9.570
Bi Pm Tb Sm
6 2 1 3
Cartesian
2.278 -0.123 3.190 Bi
0.000 6.608 6.709 Bi
0.000 6.853 0.263 Bi
2.278 4.444 3.378 Bi
2.278 -0.368 9.636 Bi
0.000 2.041 6.521 Bi
0.000 2.160 3.291 Pm
2.278 4.325 6.608 Pm
2.278 0.000 0.000 Tb
0.000 6.711 3.479 Sm
2.278 -0.226 6.420 Sm
2.278 4.551 0.164 Sm
```

Computed properties:
Formation energy from the elements ... -922.4 meV per atom

(3)
Tb3Pm2SmBi6 | PBE | relaxed

Geometry as POSCAR:
```
Tb3Pm2SmBi6
1.0
-0.440 -2.542 -3.728
7.902 3.176 -3.099
2.870 -6.730 7.007
Tb Pm Bi Sm
3 2 6 1
Cartesian
2.863 -6.073 1.046 Tb
7.469 -0.023 -0.866 Tb
3.731 0.317 -3.413 Tb
3.514 -1.607 0.681 Pm
6.818 -4.489 -0.500 Pm
5.291 -2.056 -1.979 Bi
1.298 -3.699 -0.387 Bi
5.917 2.353 -2.303 Bi
4.416 -8.448 2.483 Bi
9.034 -2.397 0.568 Bi
5.041 -4.040 2.160 Bi
-0.220 -1.271 -1.864 Sm
```

Computed properties:
Formation energy from the elements ... -907.3 meV per atom

(4)
PmSmBiTe | PBE | relaxed

Geometry as POSCAR:
```
PmSmBiTe
1.0
4.524 0.000 0.000
2.262 3.918 0.000
2.262 1.306 7.344
Pm Te Bi Sm
1 1 1 1
Cartesian
4.524 2.612 4.897 Pm
6.786 3.918 6.751 Te
2.262 1.306 3.056 Bi
6.786 3.918 1.238 Sm
```

Computed properties:
Raw formation energy ... -1.18 eV/atom

(5)
PmSmBiTe | PBE | relaxed

Geometry as POSCAR:
```
PmSmBiTe
1.0
5.529 0.000 0.000
2.764 4.788 0.000
2.764 1.596 4.514
Bi Pm Te Sm
1 1 1 1
Cartesian
2.764 1.596 1.129 Bi
5.529 3.192 2.257 Pm
8.293 4.788 3.386 Te
0.000 0.000 0.000 Sm
```

Computed properties:
Raw formation energy ... -0.97 eV/atom

(6)
PmSmTh2Bi4 | PBE | relaxed

Geometry as POSCAR:
```
PmSmTh2Bi4
1.0
-2.523 3.834 -0.168
-5.496 -3.803 -4.248
-5.337 -3.299 4.879
Th Pm Bi Sm
2 1 4 1
Cartesian
-5.337 -3.299 4.879 Th
-3.930 0.268 2.356 Th
-4.009 0.015 -2.208 Pm
-6.711 -1.755 -2.032 Bi
-6.645 -1.513 2.495 Bi
-8.114 -5.318 0.482 Bi
-5.242 2.051 -0.020 Bi
-5.417 -3.551 0.315 Sm
```

Computed properties:
Formation energy from the elements ... -755.7 meV per atom

no.,energy (eV/cell)
1,-41.675
2,-62.644
3,-62.284
4,-21.225
5,-20.356
6,-45.879